A geometry-optimized PrNd12In3 structure. Source: Alexandria, functional GGA-PBE.

CIF file:
```
data_PrNd12In3
_chemical_formula_sum 'Pr1 Nd12 In3'
_cell_length_a 5.0105
_cell_length_b 5.0105
_cell_length_c 20.4979
_cell_angle_alpha 90.00
_cell_angle_beta 90.00
_cell_angle_gamma 90.00
_symmetry_space_group_name_H-M 'P 4/m m m'
_symmetry_Int_Tables_number 123
_symmetry_space_group_name_Hall '-P 4 2'
loop_
_atom_site_label
_atom_site_fract_x
_atom_site_fract_y
_atom_site_fract_z
Pr1 0.0000 0.0000 0.0000
Nd1 0.0000 0.5000 0.1334
Nd2 0.0000 0.5000 0.3781
Nd3 0.5000 0.5000 0.0000
Nd4 0.5000 0.5000 0.2570
Nd5 0.5000 0.5000 0.5000
In1 0.0000 0.0000 0.2568
In2 0.0000 0.0000 0.5000
```


A geometry-optimized Pr3Nd3In structure. Source: Alexandria, functional GGA-PBE.

CIF file:
```
data_Pr3Nd3In
_chemical_formula_sum 'Pr18 Nd18 In6'
_cell_length_a 8.6679
_cell_length_b 8.6679
_cell_length_c 22.2247
_cell_angle_alpha 90.00
_cell_angle_beta 90.00
_cell_angle_gamma 120.00
_symmetry_space_group_name_H-M 'R -3'
_symmetry_Int_Tables_number 148
_symmetry_space_group_name_Hall '-R 3'
loop_
_atom_site_label
_atom_site_fract_x
_atom_site_fract_y
_atom_site_fract_z
Pr1 0.0139 0.2582 0.0554
Nd1 0.0397 0.4385 0.8830
In1 0.0000 0.0000 0.3359
```

Summary:
The calculation puts the offset from the most stable computed form at 1.08 eV/f.u.


A geometry-optimized Pr3Nd5In structure. Source: Alexandria, functional GGA-PBE.

CIF file:
```
data_Pr3Nd5In
_chemical_formula_sum 'Pr12 Nd20 In4'
_cell_length_a 10.2714
_cell_length_b 8.3006
_cell_length_c 15.8108
_cell_angle_alpha 90.00
_cell_angle_beta 101.57
_cell_angle_gamma 90.00
_symmetry_space_group_name_H-M 'C 1 2/m 1'
_symmetry_Int_Tables_number 12
loop_
_symmetry_equiv_pos_as_xyz
'x,y,z'
'-x,-y,-z'
'-x,y,-z'
'x,-y,z'
'x+1/2,y+1/2,z'
'-x+1/2,-y+1/2,-z'
'-x+1/2,y+1/2,-z'
'x+1/2,-y+1/2,z'
loop_
_atom_site_label
_atom_site_fract_x
_atom_site_fract_y
_atom_site_fract_z
Pr1 0.0000 0.0000 0.0000
Pr2 0.0000 0.0000 0.5000
Pr3 0.1505 0.5000 0.4635
Pr4 0.1523 0.0000 0.8534
Nd1 0.0000 0.3288 0.0000
Nd2 0.0736 0.5000 0.2247
Nd3 0.1481 0.2712 0.6622
Nd4 0.2437 0.0000 0.1444
In1 0.0959 0.0000 0.3173
```


A geometry-optimized PrNdIn structure. Source: Alexandria, functional GGA-PBE.

CIF file:
```
data_PrNdIn
_chemical_formula_sum 'Pr2 Nd2 In2'
_cell_length_a 4.1432
_cell_length_b 4.1432
_cell_length_c 10.7478
_cell_angle_alpha 90.00
_cell_angle_beta 90.00
_cell_angle_gamma 90.00
_symmetry_space_group_name_H-M 'I 4 m m'
_symmetry_Int_Tables_number 107
_symmetry_space_group_name_Hall 'I 4 -2'
loop_
_atom_site_label
_atom_site_fract_x
_atom_site_fract_y
_atom_site_fract_z
Pr1 0.0000 0.0000 0.0000
Nd1 0.0000 0.0000 0.6899
In1 0.0000 0.0000 0.3428
```

Summary:
The calculation puts the offset from the most stable computed form at 0.20 eV/f.u.


A geometry-optimized PrNd3In structure. Source: Alexandria, functional GGA-PBE.

CIF file:
```
data_PrNd3In
_chemical_formula_sum 'Pr4 Nd12 In4'
_cell_length_a 4.9565
_cell_length_b 26.1205
_cell_length_c 4.9540
_cell_angle_alpha 90.00
_cell_angle_beta 90.00
_cell_angle_gamma 90.00
_symmetry_space_group_name_H-M 'C m c m'
_symmetry_Int_Tables_number 63
_symmetry_space_group_name_Hall '-C 2c 2'
loop_
_atom_site_label
_atom_site_fract_x
_atom_site_fract_y
_atom_site_fract_z
Pr1 0.0000 0.1516 0.2500
Nd1 0.0000 0.0535 0.7500
Nd2 0.0000 0.2495 0.7500
Nd3 0.0000 0.4472 0.7500
In1 0.0000 0.3468 0.2500
```

Summary:
The calculation puts the offset from the most stable computed form at 0.00 eV/f.u.


A geometry-optimized Pr9Nd2In structure. Source: Alexandria, functional GGA-PBE.

CIF file:
```
data_Pr9Nd2In
_chemical_formula_sum 'Pr9 Nd2 In1'
_cell_length_a 5.1307
_cell_length_b 5.1307
_cell_length_c 15.7471
_cell_angle_alpha 90.00
_cell_angle_beta 90.00
_cell_angle_gamma 90.00
_symmetry_space_group_name_H-M 'P 4/m m m'
_symmetry_Int_Tables_number 123
_symmetry_space_group_name_Hall '-P 4 2'
loop_
_atom_site_label
_atom_site_fract_x
_atom_site_fract_y
_atom_site_fract_z
Pr1 0.0000 0.0000 0.0000
Pr2 0.0000 0.0000 0.3296
Pr3 0.0000 0.5000 0.1596
Pr4 0.0000 0.5000 0.5000
Nd1 0.5000 0.5000 0.3301
In1 0.5000 0.5000 0.0000
```


A geometry-optimized PrNdInPt structure. Source: Alexandria, functional GGA-PBE.

CIF file:
```
data_PrNdInPt
_chemical_formula_sum 'Pr4 Nd4 In4 Pt4'
_cell_length_a 7.5268
_cell_length_b 7.5268
_cell_length_c 7.5268
_cell_angle_alpha 90.00
_cell_angle_beta 90.00
_cell_angle_gamma 90.00
_symmetry_space_group_name_H-M 'F -4 3 m'
_symmetry_Int_Tables_number 216
_symmetry_space_group_name_Hall 'F -4 2 3'
loop_
_atom_site_label
_atom_site_fract_x
_atom_site_fract_y
_atom_site_fract_z
Pr1 0.0000 0.0000 0.0000
Nd1 0.0000 0.0000 0.5000
In1 0.2500 0.2500 0.2500
Pt1 0.2500 0.2500 0.7500
```


A geometry-optimized PrNdInRh structure. Source: Alexandria, functional GGA-PBE.

CIF file:
```
data_PrNdInRh
_chemical_formula_sum 'Pr4 Nd4 In4 Rh4'
_cell_length_a 7.4682
_cell_length_b 7.4682
_cell_length_c 7.4682
_cell_angle_alpha 90.00
_cell_angle_beta 90.00
_cell_angle_gamma 90.00
_symmetry_space_group_name_H-M 'F -4 3 m'
_symmetry_Int_Tables_number 216
_symmetry_space_group_name_Hall 'F -4 2 3'
loop_
_atom_site_label
_atom_site_fract_x
_atom_site_fract_y
_atom_site_fract_z
Pr1 0.0000 0.0000 0.0000
Nd1 0.0000 0.0000 0.5000
In1 0.2500 0.2500 0.7500
Rh1 0.2500 0.2500 0.2500
```


Number 1: energy relative to the elements -195 meV per atom, calculated volume 32.16 Å³/atom. Number 2: energy relative to the elements 56 meV per atom, calculated volume 34.43 Å³/atom. Number 3: energy relative to the elements 213 meV per atom, calculated volume 36.68 Å³/atom. Number 4: energy relative to the elements -273 meV per atom, calculated volume 30.75 Å³/atom. Number 5: energy relative to the elements -191 meV per atom, calculated volume 32.07 Å³/atom. Number 6: energy relative to the elements -71 meV per atom, calculated volume 34.54 Å³/atom. Number 7: energy relative to the elements -627 meV per atom, calculated volume 26.65 Å³/atom. Number 8: energy relative to the elements -424 meV per atom, calculated volume 26.03 Å³/atom.